Material: Ba8As3I4N
Method: DFT, PBE
State: relaxed

- Raw formation energy: -30.49 kcal/mol of atoms
- Total magnetization: 0.00 Bohr magnetons per cell

Unit cell a=9.4227 b=10.0485 c=9.4272 alpha=118.03 beta=119.98 gamma=90.00
Last column: nearest neighbours and their distance in Å.
Sites, in units of the cell vectors:
Ba: 0.2645 0.2938 0.5291  3 As 3.23
Ba: 0.7837 0.3099 0.0262  1 N 2.97, 2 As 3.26
Ba: 0.7355 0.7062 0.4709  3 As 3.23
Ba: 0.7575 0.6901 0.9738  1 N 2.97, 2 As 3.26
Ba: 0.7810 0.3077 0.5620  1 N 3.00, 2 As 3.26
Ba: 0.2190 0.6923 0.4380  1 N 3.00, 2 As 3.26
Ba: 0.2425 0.3099 0.0262  1 N 2.97, 2 As 3.26
Ba: 0.2163 0.6901 0.9738  1 N 2.97, 2 As 3.26
As: 0.5000 0.5000 0.0000  6 Ba 3.23-3.26
As: 0.5000 0.5000 0.5000  6 Ba 3.23-3.26
As: 0.0000 0.5000 0.5000  6 Ba 3.23-3.26
I: 0.0000 0.0000 0.0000  6 Ba 3.68-3.70
I: 0.5000 0.0000 0.5000  6 Ba 3.68-3.70
I: 0.5000 0.0000 0.0000  6 Ba 3.90-3.94
I: 0.0000 0.0000 0.5000  6 Ba 3.68-3.70
N: 0.0000 0.5000 0.0000  6 Ba 2.97-3.00

---

Material: BaAsIN2
Method: DFT, PBE
State: relaxed

- Raw formation energy: 17.16 kcal/mol of atoms
- Total magnetization: 1.45 Bohr magnetons per cell
- Offset from the most stable computed form: 0.00 eV/f.u.

Unit cell a=4.4843 b=4.4843 c=5.6899 alpha=90.00 beta=90.00 gamma=90.00
Last column: nearest neighbours and their distance in Å.
Sites, in units of the cell vectors:
Ba: 0.5000 0.5000 0.5000  4 I 3.17
As: 0.0000 0.0000 0.0000  4 N 2.24
I: 0.0000 0.0000 0.5000  2 As 2.84, 4 Ba 3.17
N: 0.0000 0.5000 0.0000  2 As 2.24
N: 0.5000 0.0000 0.0000  2 As 2.24

---

Material: Ba6As2I2N
Method: DFT, PBE
State: relaxed

- Raw formation energy: -25.73 kcal/mol of atoms
- Total magnetization: 1.00 Bohr magnetons per cell

Unit cell a=8.0297 b=8.0297 c=8.7804 alpha=99.63 beta=99.63 gamma=119.81
Last column: nearest neighbours and their distance in Å.
Sites, in units of the cell vectors:
Ba: 0.3720 0.0732 0.6970  1 N 2.91, 1 As 3.25
Ba: 0.6280 0.9268 0.3030  1 N 2.91, 1 As 3.25
Ba: 0.7698 0.7698 0.6917  1 N 2.89
Ba: 0.9268 0.6280 0.3030  1 N 2.91, 1 As 3.25
Ba: 0.0732 0.3720 0.6970  1 N 2.91, 1 As 3.25
Ba: 0.2302 0.2302 0.3083  1 N 2.89
N: 0.0000 0.0000 0.5000  6 Ba 2.89-2.91
I: 0.8261 0.1739 0.0000  6 Ba 3.64-3.76
I: 0.1739 0.8261 0.0000  6 Ba 3.64-3.76
As: 0.6683 0.3317 0.5000  6 Ba 3.25-3.26
As: 0.3317 0.6683 0.5000  6 Ba 3.25-3.26

---

Material: BaAsIN2
Method: DFT, PBE
State: relaxed

- Raw formation energy: 37.37 kcal/mol of atoms
- Total magnetization: 3.90 Bohr magnetons per cell
- Offset from the most stable computed form: 4.38 eV/f.u.

Unit cell a=4.7540 b=4.7540 c=7.3808 alpha=90.00 beta=90.00 gamma=90.00
Last column: nearest neighbours and their distance in Å.
Sites, in units of the cell vectors:
N: 0.0000 0.5000 0.0000  2 Ba 2.38
N: 0.5000 0.0000 0.0000  2 Ba 2.38
As: 0.5000 0.5000 0.5000  4 I 3.36
I: 0.0000 0.0000 0.5000  4 As 3.36, 2 Ba 3.69
Ba: 0.0000 0.0000 0.0000  4 N 2.38

---

Material: Ba8NiAs3I4
Method: DFT, PBE
State: relaxed

- Raw formation energy: -28.52 kcal/mol of atoms
- Total magnetization: 1.05 Bohr magnetons per cell

Unit cell a=9.5666 b=10.0956 c=9.6277 alpha=118.40 beta=119.79 gamma=90.00
Last column: nearest neighbours and their distance in Å.
Sites, in units of the cell vectors:
Ba: 0.7346 0.7056 0.4692  3 As 3.27-3.28
Ba: 0.7714 0.3014 0.0301  1 Ni 3.17, 2 As 3.26-3.29
Ba: 0.2399 0.7102 0.4798  2 As 3.26, 1 Ni 3.35
Ba: 0.2286 0.6986 0.9699  1 Ni 3.17, 2 As 3.26-3.29
Ba: 0.7601 0.2898 0.5202  2 As 3.26, 1 Ni 3.35
Ba: 0.7413 0.6986 0.9699  1 Ni 3.17, 2 As 3.26-3.29
Ba: 0.2587 0.3014 0.0301  1 Ni 3.17, 2 As 3.26-3.29
Ba: 0.2654 0.2944 0.5308  3 As 3.27-3.28
As: 0.5000 0.5000 0.5000  6 Ba 3.26-3.29
As: 0.5000 0.5000 0.0000  6 Ba 3.26-3.28
As: 0.0000 0.5000 0.5000  6 Ba 3.26-3.29
I: 0.5000 0.0000 0.0000  6 Ba 3.68-3.81
I: 0.5000 0.0000 0.5000  6 Ba 3.71-3.76
I: 0.0000 0.0000 0.5000  6 Ba 3.71-3.76
I: 0.0000 0.0000 0.0000  6 Ba 3.73-3.75
Ni: 0.0000 0.5000 0.0000  6 Ba 3.17-3.35

---

Material: Ba2NiAsI
Method: DFT, PBE
State: relaxed

- Raw formation energy: -20.91 kcal/mol of atoms
- Total magnetization: 0.00 Bohr magnetons per cell
- Offset from the most stable computed form: 0.00 eV/f.u.

Unit cell a=6.1724 b=6.1724 c=4.4218 alpha=90.00 beta=90.00 gamma=90.00
Last column: nearest neighbours and their distance in Å.
Sites, in units of the cell vectors:
Ni: 0.0000 0.0000 0.0000  2 As 2.21
Ba: 0.5000 0.0000 0.0000  2 Ni 3.09
Ba: 0.0000 0.5000 0.0000  2 Ni 3.09
As: 0.0000 0.0000 0.5000  2 Ni 2.21
I: 0.5000 0.5000 0.5000  8 Ba 3.80

---

total magnetization of number 6 (Ba2NiAsI)?
0.00 Bohr magnetons per cell